Fe3CoW2 after structural relaxation. Source: the Alexandria database, functional PBE.

Calculated values
The calculation puts the formation energy at -22 meV/atom. The final energy comes out at -9.756 eV per atom. Its crystal system is hexagonal. As for the space group: No. 194.

Cell and atoms, written as extended XYZ:
```
12
Lattice="4.6665 0.0000 0.0000 -2.3332 4.0413 0.0000 0.0000 0.0000 7.7809" Properties=species:S:1:pos:R:3 pbc="T T T"
Fe 0.0000 1.3708 1.9452
Fe -1.1461 3.3559 1.9452
Fe 1.1871 0.6854 5.8357
Fe 1.1461 3.3559 1.9452
Fe 3.4794 0.6854 5.8357
Fe 2.3332 2.6705 5.8357
Co 0.0000 0.0000 0.0000
Co 0.0000 0.0000 3.8905
W 0.0000 2.6942 4.4064
W 0.0000 2.6942 7.2649
W 2.3332 1.3471 0.5160
W 2.3332 1.3471 3.3745
```

***

FeCo2W after structural relaxation. Source: the Alexandria database, functional PBE.

Calculated values
The calculation puts the formation energy at 218 meV/atom. The final energy comes out at -8.689 eV per atom. Its crystal system is trigonal. As for the space group: No. 166.

Cell and atoms, written as extended XYZ:
```
4
Lattice="1.3232 0.7639 8.3342 -1.3232 0.7639 8.3342 0.0000 -1.5278 8.3342" Properties=species:S:1:pos:R:3 pbc="T T T"
Fe 0.0000 0.0000 0.0000
Co 0.0000 0.0000 6.3718
Co 0.0000 0.0000 18.6309
W 0.0000 0.0000 12.5013
```